# 1
DFT (GGA-PBE) results for a relaxed Sm12Co3H5 crystal.

Summary:
The calculation puts the energy at -4.898 eV per atom. As for the symmetry: Ia-3d, No. 230. As for the mass density: 7.489 g/cm3.

a = 13.178 Å, b = 13.178 Å, c = 13.178 Å
α = 109.47°, β = 109.47°, γ = 109.47°
Element x y z (fractional)
H 0.125 0.375 0.250
Sm 0.597 0.878 0.409
Sm 0.282 0.878 0.969
H 0.000 0.000 0.000
Sm 0.188 0.097 0.718
H 0.375 0.250 0.125
Co 0.250 0.125 0.375
Co 0.625 0.375 0.750
Sm 0.782 0.469 0.378
Co 0.875 0.750 0.125
Sm 0.409 0.031 0.312
H 0.250 0.375 0.625
Sm 0.718 0.122 0.031
Sm 0.403 0.122 0.591
Sm 0.812 0.909 0.031
Co 0.250 0.625 0.875
H 0.000 0.500 0.000
Sm 0.969 0.378 0.282
Sm 0.531 0.218 0.122
Sm 0.969 0.591 0.188
H 0.250 0.875 0.125
Co 0.125 0.875 0.750
H 0.625 0.875 0.250
Sm 0.218 0.688 0.097
Sm 0.903 0.091 0.622
Sm 0.622 0.591 0.903
Co 0.875 0.125 0.250
Sm 0.312 0.782 0.403
Co 0.375 0.750 0.625
H 0.500 0.500 0.000
H 0.375 0.125 0.750
Sm 0.812 0.903 0.282
Co 0.625 0.250 0.375
Co 0.375 0.625 0.250
Sm 0.718 0.597 0.188
Sm 0.878 0.282 0.469
Sm 0.903 0.812 0.782
Sm 0.591 0.969 0.688
Co 0.750 0.375 0.125
Sm 0.097 0.188 0.218
Sm 0.091 0.188 0.469
Sm 0.909 0.097 0.878
Sm 0.688 0.469 0.591
Sm 0.909 0.812 0.531
H 0.125 0.750 0.375
H 0.000 0.500 0.500
Sm 0.218 0.531 0.622
Sm 0.031 0.409 0.812
H 0.750 0.625 0.375
H 0.000 0.000 0.500
Sm 0.378 0.409 0.097
Sm 0.531 0.312 0.909
Sm 0.688 0.218 0.597
H 0.500 0.000 0.500
H 0.500 0.000 0.000
H 0.625 0.750 0.875
Sm 0.091 0.903 0.122
Sm 0.282 0.403 0.812
H 0.875 0.625 0.750
Sm 0.378 0.969 0.782
Co 0.125 0.250 0.875
Sm 0.097 0.909 0.378
H 0.500 0.500 0.500
Co 0.750 0.875 0.625
Sm 0.409 0.378 0.597
H 0.875 0.250 0.625
Sm 0.312 0.531 0.409
Sm 0.403 0.282 0.312
H 0.750 0.125 0.875
Sm 0.622 0.031 0.218
Sm 0.122 0.718 0.531
Sm 0.469 0.782 0.878
Sm 0.591 0.622 0.403
Sm 0.597 0.718 0.688
Sm 0.188 0.091 0.969
Sm 0.122 0.403 0.091
Sm 0.878 0.597 0.909
Sm 0.782 0.312 0.903
Sm 0.031 0.622 0.718
Sm 0.469 0.688 0.091

# 2
DFT (GGA-PBE) results for a relaxed Na2CaGeF8 crystal.

Summary:
The calculation puts the energy at -4.958 eV per atom. As for the symmetry: P2/m, No. 10. For the energy relative to the elements, uncorrected, the calculation gives -2.939 eV per atom. As for the mass density: 2.957 g/cm3.

a = 4.996 Å, b = 5.112 Å, c = 6.832 Å
α = 90.00°, β = 90.00°, γ = 91.09°
Element x y z (fractional)
F 0.178 0.828 0.803
Ge 0.000 0.000 0.000
Ca 0.000 0.000 0.500
F 0.695 0.701 0.500
F 0.743 0.743 0.000
Na 0.500 0.500 0.753
F 0.305 0.299 0.500
F 0.822 0.172 0.803
F 0.178 0.828 0.197
F 0.257 0.257 0.000
Na 0.500 0.500 0.247
F 0.822 0.172 0.197

# 3
DFT (GGA-PBE) results for a relaxed Zr6Cd5Pb crystal.

Summary:
The calculation puts the energy at -5.093 eV per atom. As for the symmetry: Cmmm, No. 65. The formation energy comes out at -129 meV per atom. As for the mass density: 8.289 g/cm3.

a = 4.461 Å, b = 8.791 Å, c = 7.086 Å
α = 90.00°, β = 71.65°, γ = 90.00°
Element x y z (fractional)
Cd 0.673 0.000 0.654
Zr 0.500 0.251 0.000
Cd 0.667 0.500 0.667
Zr 0.167 0.748 0.666
Cd 0.333 0.500 0.333
Zr 0.167 0.252 0.666
Cd 0.327 0.000 0.346
Pb 0.000 0.000 0.000
Zr 0.500 0.749 0.000
Cd 0.000 0.500 0.000
Zr 0.833 0.252 0.334
Zr 0.833 0.748 0.334

# 4
DFT (GGA-PBE) results for a relaxed GeBRh2 crystal.

Summary:
The calculation puts the energy at -6.816 eV per atom. The offset from the most stable computed form comes out at 25 meV per atom. As for the symmetry: R-3m, No. 166. The formation energy comes out at -316 meV per atom. As for the mass density: 9.305 g/cm3.

a = 3.022 Å, b = 3.022 Å, c = 6.757 Å
α = 77.08°, β = 77.08°, γ = 60.00°
Element x y z (fractional)
Rh 0.231 0.231 0.307
Ge 0.000 0.000 0.000
Rh 0.769 0.769 0.693
B 0.500 0.500 0.500

# 5
DFT (GGA-PBE) results for a relaxed TaBeW2N crystal.

Summary:
The calculation puts the energy at -6.825 eV per atom. As for the symmetry: P4/mmm, No. 123. For the energy relative to the elements, uncorrected, the calculation gives 3.137 eV per atom. As for the mass density: 9.714 g/cm3.

a = 4.778 Å, b = 4.280 Å, c = 4.778 Å
α = 90.00°, β = 90.00°, γ = 90.00°
Element x y z (fractional)
N 0.500 0.500 0.500
Ta 0.000 0.000 0.000
Be 0.000 0.500 0.000
W 0.500 0.000 0.000
W 0.000 0.000 0.500

# 6
DFT (GGA-PBE) results for a relaxed Sm6AsC2S3 crystal.

Summary:
The calculation puts the energy at -6.682 eV per atom. As for the symmetry: C2/m, No. 12. For the energy relative to the elements, uncorrected, the calculation gives -1.365 eV per atom. As for the mass density: 6.865 g/cm3.

a = 3.923 Å, b = 8.043 Å, c = 8.886 Å
α = 103.60°, β = 102.75°, γ = 90.00°
Element x y z (fractional)
C 0.170 0.337 0.339
Sm 0.671 0.116 0.342
Sm 0.676 0.566 0.351
As 0.500 0.000 0.000
Sm 0.985 0.738 0.971
S 0.163 0.832 0.326
Sm 0.324 0.434 0.649
Sm 0.015 0.262 0.029
S 0.500 0.500 0.000
C 0.830 0.663 0.661
S 0.837 0.168 0.674
Sm 0.329 0.884 0.658